No. 1
SmGa8Os2 after structural relaxation, computed with PBE-GGA.

abc: 6.7495 6.7495 4.8133
angles: 98.48 98.48 98.58
With the nearest neighbours (Å) after each atom.
Atoms (fractional coordinates):
Sm  0.0000  0.0000  0.0000  12 Ga 3.06-3.38
Ga  0.0974  0.3535  0.6019  2 Os 2.49-2.73, 3 Ga 2.62-2.75
Ga  0.2994  0.7006  0.0000  2 Os 2.41
Ga  0.3535  0.0974  0.6019  2 Os 2.49-2.73, 3 Ga 2.62-2.75
Ga  0.3735  0.3735  0.2516  2 Os 2.66, 5 Ga 2.69-2.88
Ga  0.6265  0.6265  0.7484  2 Os 2.66, 5 Ga 2.69-2.88
Ga  0.6465  0.9026  0.3981  2 Os 2.49-2.73, 3 Ga 2.62-2.75
Ga  0.7006  0.2994  0.0000  2 Os 2.41
Ga  0.9026  0.6465  0.3981  2 Os 2.49-2.73, 3 Ga 2.62-2.75
Os  0.2819  0.7181  0.5000  6 Ga 2.41-2.66
Os  0.7181  0.2819  0.5000  6 Ga 2.41-2.66

Calculated values
- Formation enthalpy at 0 K: -0.21 eV/atom
- VASP energy: -4.8858 eV per atom
- ρ: 8.56 g/cm³

=====

No. 2
RbPtF after structural relaxation, computed with PBE-GGA.

abc: 7.5292 7.5292 6.0382
angles: 96.49 96.49 24.31
With the nearest neighbours (Å) after each atom.
Atoms (fractional coordinates):
Rb  0.0986  0.0986  0.3417  4 F 2.82-2.83
Rb  0.9014  0.9014  0.6583  4 F 2.82-2.83
Pt  0.3095  0.3095  0.0962  1 F 2.13
Pt  0.6905  0.6905  0.9038  1 F 2.13
F  0.4395  0.4395  0.2924  1 Pt 2.13
F  0.5605  0.5605  0.7076  1 Pt 2.13

Calculated values
- Energy above the lowest structure with this stoichiometry: 4.95 kcal/mol of atoms
- VASP energy: -4.0918 eV per atom
- ρ: 7.11 g/cm³